The following is a PBE calculation of ZrTiCrCo after structural relaxation, from Alexandria via LeMat-Bulk.

The density of states at the Fermi level comes out at 1.226 states/eV per atom. As for the density: 6951 kg/m3. Its size of the total moment is 2.367 μB/cell. Its formation energy from the elements is -0.072 eV/atom.

It has space group F-43m (No. 216), with a = 6.2050 Å, b = 6.2050 Å, c = 6.2050 Å, α = 90.00°, β = 90.00° and γ = 90.00°. The asymmetric unit holds Zr at (0.0000, 0.0000, 0.0000), Ti at (0.0000, 0.0000, 0.5000), Cr at (0.2500, 0.2500, 0.7500) and Co at (0.2500, 0.2500, 0.2500).

=====

The following is a PBE calculation of TlCrCo3 after structural relaxation, from Alexandria via LeMat-Bulk.

The density of states at the Fermi level comes out at 2.112 states/eV per atom. As for the density: 6967 kg/m3. Its size of the total moment is 4.755 μB/cell. Its formation energy from the elements is 2.293 eV/atom.

It has space group Pm-3m (No. 221), with a = 4.6913 Å, b = 4.6913 Å, c = 4.6913 Å, α = 90.00°, β = 90.00° and γ = 90.00°. The asymmetric unit holds Tl at (0.0000, 0.0000, 0.0000), Cr at (0.5000, 0.5000, 0.5000) and Co at (0.0000, 0.0000, 0.5000).

=====

The following is a PBE calculation of Tl3CrCo after structural relaxation, from Alexandria via LeMat-Bulk.

The density of states at the Fermi level comes out at 0.542 states/eV per atom. As for the density: 9329 kg/m3. Its size of the total moment is 5.418 μB/cell. Its formation energy from the elements is 0.640 eV/atom.

It has space group Pm-3m (No. 221), with a = 5.0513 Å, b = 5.0513 Å, c = 5.0513 Å, α = 90.00°, β = 90.00° and γ = 90.00°. The asymmetric unit holds Tl at (0.0000, 0.0000, 0.5000), Cr at (0.5000, 0.5000, 0.5000) and Co at (0.0000, 0.0000, 0.0000).

=====

The following is a PBE calculation of TlCrCo3 after structural relaxation, from Alexandria via LeMat-Bulk.

The density of states at the Fermi level comes out at 1.500 states/eV per atom. As for the density: 9338 kg/m3. Its size of the total moment is 0.004 μB/cell. Its formation energy from the elements is 1.093 eV/atom.

It has space group Pm-3m (No. 221), with a = 4.2549 Å, b = 4.2549 Å, c = 4.2549 Å, α = 90.00°, β = 90.00° and γ = 90.00°. The asymmetric unit holds Tl at (0.0000, 0.0000, 0.0000), Cr at (0.5000, 0.5000, 0.5000) and Co at (0.0000, 0.5000, 0.5000).

=====

The following is a PBE calculation of Tl2CrCoW after structural relaxation, from Alexandria via LeMat-Bulk.

The density of states at the Fermi level comes out at 1.005 states/eV per atom. As for the density: 9923 kg/m3. Its size of the total moment is 1.890 μB/cell. Its formation energy from the elements is 1.618 eV/atom.

It has space group P4/mmm (No. 123), with a = 5.1348 Å, b = 5.1348 Å, c = 4.4653 Å, α = 90.00°, β = 90.00° and γ = 90.00°. The asymmetric unit holds Tl at (0.0000, 0.5000, 0.0000), Cr at (0.0000, 0.0000, 0.0000), Co at (0.5000, 0.5000, 0.5000) and W at (0.0000, 0.0000, 0.5000).

=====

The following is a PBE calculation of UCrCo after structural relaxation, from Alexandria via LeMat-Bulk.

The density of states at the Fermi level comes out at 1.484 states/eV per atom. As for the density: 13434 kg/m3. Its size of the total moment is 0.000 μB/cell. Its formation energy from the elements is -0.043 eV/atom.

It has space group Imma (No. 74), with a = 4.5000 Å, b = 5.0675 Å, c = 7.5661 Å, α = 90.00°, β = 90.00° and γ = 90.00°. The asymmetric unit holds U at (0.0000, 0.2500, 0.1421), Cr at (0.2500, 0.2500, 0.7500) and Co at (0.0000, 0.0000, 0.5000).

=====

The following is a PBE calculation of VCr2Co after structural relaxation, from Alexandria via LeMat-Bulk.

The density of states at the Fermi level comes out at 1.103 states/eV per atom. As for the density: 7480 kg/m3. Its size of the total moment is 9.368 μB/cell. Its formation energy from the elements is 0.088 eV/atom.

It has space group Fm-3m (No. 225), with a = 5.7481 Å, b = 5.7481 Å, c = 5.7481 Å, α = 90.00°, β = 90.00° and γ = 90.00°. The asymmetric unit holds V at (0.0000, 0.0000, 0.0000), Cr at (0.2500, 0.2500, 0.2500) and Co at (0.0000, 0.0000, 0.5000).

=====

The following is a PBE calculation of VCrCo3 after structural relaxation, from Alexandria via LeMat-Bulk.

The density of states at the Fermi level comes out at 1.053 states/eV per atom. As for the density: 6340 kg/m3. Its size of the total moment is 4.982 μB/cell. Its formation energy from the elements is 1.069 eV/atom.

It has space group Pm-3m (No. 221), with a = 4.1845 Å, b = 4.1845 Å, c = 4.1845 Å, α = 90.00°, β = 90.00° and γ = 90.00°. The asymmetric unit holds V at (0.0000, 0.0000, 0.0000), Cr at (0.5000, 0.5000, 0.5000) and Co at (0.0000, 0.0000, 0.5000).

=====

The following is a PBE calculation of VCrCo4 after structural relaxation, from Alexandria via LeMat-Bulk.

The density of states at the Fermi level comes out at 0.712 states/eV per atom. As for the density: 7367 kg/m3. Its size of the total moment is 0.000 μB/cell. Its formation energy from the elements is 0.428 eV/atom.

It has space group R-3m (No. 166, hexagonal axes), with a = 3.7814 Å, b = 3.7814 Å, c = 18.4886 Å, α = 90.00°, β = 90.00° and γ = 120.00°. The asymmetric unit holds V at (0.0000, 0.0000, 0.0000), Cr at (0.0000, 0.0000, 0.5000), Co at (0.0000, 0.0000, 0.1270) and Co at (0.0000, 0.0000, 0.3768).

=====

The following is a PBE calculation of V2CrCo after structural relaxation, from Alexandria via LeMat-Bulk.

The density of states at the Fermi level comes out at 0.965 states/eV per atom. As for the density: 7255 kg/m3. Its size of the total moment is 0.988 μB/cell. Its formation energy from the elements is -0.118 eV/atom.

It has space group P4/mmm (No. 123), with a = 2.9123 Å, b = 2.9123 Å, c = 5.7434 Å, α = 90.00°, β = 90.00° and γ = 90.00°. The asymmetric unit holds V at (0.0000, 0.0000, 0.2443), Cr at (0.5000, 0.5000, 0.0000) and Co at (0.5000, 0.5000, 0.5000).

=====

The following is a PBE calculation of VCr2Co after structural relaxation, from Alexandria via LeMat-Bulk.

The density of states at the Fermi level comes out at 0.974 states/eV per atom. As for the density: 7442 kg/m3. Its size of the total moment is 2.382 μB/cell. Its formation energy from the elements is 0.074 eV/atom.

It has space group P4/mmm (No. 123), with a = 2.9004 Å, b = 2.9004 Å, c = 5.6729 Å, α = 90.00°, β = 90.00° and γ = 90.00°. The asymmetric unit holds V at (0.0000, 0.0000, 0.0000), Cr at (0.5000, 0.5000, 0.2507) and Co at (0.0000, 0.0000, 0.5000).

=====

The following is a PBE calculation of V3CrCo after structural relaxation, from Alexandria via LeMat-Bulk.

The density of states at the Fermi level comes out at 1.871 states/eV per atom. As for the density: 5460 kg/m3. Its size of the total moment is 2.153 μB/cell. Its formation energy from the elements is 0.904 eV/atom.

It has space group Pm-3m (No. 221), with a = 4.3126 Å, b = 4.3126 Å, c = 4.3126 Å, α = 90.00°, β = 90.00° and γ = 90.00°. The asymmetric unit holds V at (0.0000, 0.0000, 0.5000), Cr at (0.5000, 0.5000, 0.5000) and Co at (0.0000, 0.0000, 0.0000).